# PBE PrTm2Cd, optimized geometry
# electronic total energy = -3.707 eV/atom
# energy relative to the lowest polymorph listed for this composition = 100 meV/atom
# energy of formation = -0.05 eV/atom
# total moment = 0.00 μB/f.u.
# symmetry = R3m
data_PrTm2Cd
_cell_length_a 10.962
_cell_length_b 10.962
_cell_length_c 10.962
_cell_angle_alpha 18.90
_cell_angle_beta 18.90
_cell_angle_gamma 18.90
_space_group_name_H-M_alt 'P 1'
_space_group_IT_number 1
loop_
_space_group_symop_operation_xyz
'x,y,z'
loop_
_atom_site_label
_atom_site_type_symbol
_atom_site_fract_x
_atom_site_fract_y
_atom_site_fract_z
Pr1 Pr 0.000 0.000 0.000
Tm1 Tm 0.575 0.575 0.575
Tm2 Tm 0.758 0.758 0.758
Cd1 Cd 0.166 0.166 0.166